Record 1
The following is a PBE calculation of a relaxed structure of KBaSe4, from Alexandria.

```
KBaSe4
1.0
5.676 -0.859 0.409
-2.054 4.089 0.332
0.796 0.851 9.200
Ba Se K
1 4 1
Cartesian
1.801 1.629 0.391
-0.953 2.578 2.115
3.184 0.424 6.940
1.194 3.681 3.044
5.343 1.516 7.850
3.996 3.658 5.353
```

Computed properties:
Space group: P1
ΔE to the lowest computed polymorph, meV/atom: 0.0
Total DFT energy (no corrections), eV per atom: -3.8058
Formation energy from raw total energies, eV per atom: -0.979



Record 2
The following is a PBE calculation of a relaxed structure of RePdOF2, from Alexandria.

```
RePdOF2
1.0
-2.641 0.903 3.139
-3.243 -1.209 -2.380
0.386 -3.868 1.438
F Pd O Re
2 1 1 1
Cartesian
-1.320 0.452 1.570
-1.622 -0.604 -1.190
0.000 0.000 0.000
0.193 -1.934 0.719
-2.749 -2.087 1.098
```

Computed properties:
Space group: P4/mmm
ΔE to the lowest computed polymorph, meV/atom: 966.7
Total DFT energy (no corrections), eV per atom: -4.9331
Formation energy from raw total energies, eV per atom: 0.335



Record 3
The following is a PBE calculation of a relaxed structure of HoGe3Ru5, from Alexandria.

```
HoGe3Ru5
1.0
3.029 0.000 0.000
-1.515 6.728 0.000
0.000 0.000 14.244
Ge Ru Ho
6 10 2
Cartesian
0.000 1.968 10.683
1.515 1.795 0.826
1.515 4.760 3.561
0.000 4.933 7.948
0.000 4.933 13.418
1.515 1.795 6.296
1.515 0.405 12.045
0.000 2.542 13.091
1.515 4.186 1.153
0.000 0.000 7.122
0.000 0.000 0.000
0.000 6.323 4.923
1.515 0.405 9.321
0.000 6.323 2.199
0.000 2.542 8.275
1.515 4.186 5.969
0.000 1.983 3.561
1.515 4.744 10.683
```

Computed properties:
Energy relative to the elements, eV per formula unit: -1.83
Space group: Cmcm
Total DFT energy (no corrections), eV per atom: -7.4038



Record 4
The following is a PBE calculation of a relaxed structure of LaHoCdHg, from Alexandria.

```
LaHoCdHg
1.0
5.414 0.000 0.000
2.707 4.689 0.000
2.707 1.563 4.421
Ho La Cd Hg
1 1 1 1
Cartesian
8.122 4.689 3.316
2.707 1.563 1.105
5.414 3.126 2.210
0.000 0.000 0.000
```

Computed properties:
Energy relative to the elements, eV per formula unit: -1.53
Space group: F-43m
Total DFT energy (no corrections), eV per atom: -3.0624